A relaxed K3Nd3BiSe8 crystal, computed with GGA-PBE.

Cell and atoms, written as POSCAR:
```
K3Nd3BiSe8
1.0
-5.4339 3.6472 -5.5586
0.1883 -8.5479 0.8386
-3.7827 4.9189 6.9248
Nd Se K Bi
3 8 3 1
direct
0.5000 0.5000 0.5000
0.5000 0.0000 0.5000
0.0000 0.5000 0.5000
0.7672 0.5344 0.2930
0.7414 0.9742 0.7069
0.7672 0.0257 0.2931
0.2586 0.0258 0.2931
0.2632 0.5265 0.2898
0.2328 0.9743 0.7069
0.2328 0.4656 0.7070
0.7368 0.4735 0.7102
0.5000 0.5000 0.0000
0.0000 0.5000 0.0000
0.0000 0.0000 0.0000
0.0000 0.0000 0.5000
```

Results
Formation energy (no corrections) ... -1416.1 meV per atom
Space-group type ... R-3m (166)
D(E_F) ... 8.0 states/eV/f.u.
Size of the total moment ... 0.00 μB per formula unit

A relaxed CaCrW4 crystal, computed with GGA-PBE.

Cell and atoms, written as POSCAR:
```
CaCrW4
1.0
0.0000 3.8098 3.8098
3.8098 0.0000 3.8098
3.8098 3.8098 0.0000
W Ca Cr
4 1 1
direct
0.3756 0.3756 0.8733
0.3756 0.8733 0.3756
0.3756 0.3756 0.3756
0.8733 0.3756 0.3756
0.7500 0.7500 0.7500
0.0000 0.0000 0.0000
```

Results
Space-group type ... F-43m (216)
D(E_F) ... 5.1 states/eV/f.u.
Size of the total moment ... 1.51 μB per formula unit
Energy relative to the elements ... 656 meV/atom

A relaxed InNi2Br crystal, computed with GGA-PBE.

Cell and atoms, written as POSCAR:
```
InNi2Br
1.0
-2.5364 -1.8251 0.6200
2.4067 -1.6910 4.8681
-1.7278 3.0516 1.9142
Br Ni In
1 2 1
direct
0.5000 0.0000 0.5000
0.0000 0.0000 0.0000
0.5000 0.5000 0.0000
0.0000 0.5000 0.5000
```

Results
Formation energy (no corrections) ... 369.4 meV per atom
Space-group type ... Pmmm (47)
D(E_F) ... 4.1 states/eV/f.u.
Distance to the lowest polymorph of the same formula ... 321.9 meV per atom
Size of the total moment ... 0.31 μB per formula unit

A relaxed LaThTe2 crystal, computed with GGA-PBE.

Cell and atoms, written as POSCAR:
```
LaThTe2
1.0
4.4701 0.0000 0.0000
2.2351 3.8712 0.0000
2.2351 1.2904 7.5462
Te La Th
2 1 1
direct
0.7488 0.7488 0.7535
0.2512 0.2512 0.2465
0.5000 0.5000 0.5000
0.0000 0.0000 0.0000
```

Results
Formation energy (no corrections) ... -1297.9 meV per atom
Space-group type ... R-3m (166)
D(E_F) ... 2.9 states/eV/f.u.
Distance to the lowest polymorph of the same formula ... 0.0 meV per atom
Size of the total moment ... 0.00 μB per formula unit

A relaxed CaMoH2N crystal, computed with GGA-PBE.

Cell and atoms, written as POSCAR:
```
CaMoH2N
1.0
3.7113 0.0000 0.0000
0.0000 3.7113 0.0000
0.0000 0.0000 3.9818
Mo Ca H N
1 1 2 1
direct
0.0000 0.0000 0.0000
0.5000 0.5000 0.5000
0.0000 0.5000 0.0000
0.5000 0.0000 0.0000
0.0000 0.0000 0.5000
```

Results
Space-group type ... P4/mmm (123)
D(E_F) ... 2.5 states/eV/f.u.
Size of the total moment ... 0.00 μB per formula unit

A relaxed TaNb2HPd crystal, computed with GGA-PBE.

Cell and atoms, written as POSCAR:
```
TaNb2HPd
1.0
-0.6689 -3.3134 -2.1932
2.4223 1.4230 -2.8886
3.4737 -1.9828 1.9362
Pd H Nb Ta
1 1 2 1
direct
0.0000 0.0000 0.5000
0.0000 0.0000 0.0000
0.0000 0.5000 0.0000
0.5000 0.0000 0.0000
0.5000 0.5000 0.5000
```

Results
Space-group type ... P4/mmm (123)
D(E_F) ... 5.4 states/eV/f.u.
Distance to the lowest polymorph of the same formula ... 15.6 meV per atom
Size of the total moment ... 0.00 μB per formula unit

A relaxed ErThSb crystal, computed with GGA-PBE.

Cell and atoms, written as POSCAR:
```
ErThSb
1.0
3.8503 0.0000 0.0000
0.0000 5.1984 0.0000
0.0000 -2.5992 4.5019
Er Th Sb
1 1 1
direct
0.2092 0.6667 0.3333
0.7044 0.3333 0.6667
0.0864 0.0000 0.0000
```

Results
Formation energy (no corrections) ... -272.0 meV per atom
Space-group type ... P3m1 (156)
D(E_F) ... 4.6 states/eV/f.u.
Size of the total moment ... 0.00 μB per formula unit

A relaxed RbBa2F crystal, computed with GGA-PBE.

Cell and atoms, written as POSCAR:
```
RbBa2F
1.0
4.4070 0.0000 0.0000
2.2035 3.8166 0.0000
2.2035 1.2722 11.8793
Ba F Rb
2 1 1
direct
0.8767 0.8767 0.3700
0.1233 0.1233 0.6300
0.5000 0.5000 0.5000
0.0000 0.0000 0.0000
```

Results
Formation energy (no corrections) ... -1136.8 meV per atom
Space-group type ... R-3m (166)
D(E_F) ... 2.9 states/eV/f.u.
Distance to the lowest polymorph of the same formula ... 125.0 meV per atom
Size of the total moment ... 1.43 μB per formula unit

Number 1: raw total energy -4.706 eV/atom. Number 2: raw total energy -9.917 eV/atom. Number 3: raw total energy -3.624 eV/atom. Number 4: raw total energy -5.956 eV/atom. Number 5: raw total energy -6.038 eV/atom. Number 6: raw total energy -8.191 eV/atom. Number 7: raw total energy -5.640 eV/atom. Number 8: raw total energy -2.808 eV/atom.